VASP calculation (PBE) on Na2NdTmS4 after structural relaxation.

Cell: 6.9885 4.0325 7.0848 Å, 90.00 109.19 90.00°
Closest atoms and distances in Å follow each position.
Space group P2/m (No. 10)
Symmetry-distinct sites (fractional):
Na1 0.0000 0.0000 0.0000 x1  6 S 2.99-3.00
Na2 0.5000 0.5000 0.0000 x1  6 S 2.91
Nd1 0.0000 0.5000 0.5000 x1  6 S 2.83-2.84
Tm1 0.5000 0.0000 0.5000 x1  6 S 2.73-2.75
S1 0.2544 0.0000 0.7308 x2  1 Tm 2.73, 2 Nd 2.83, 3 Na 2.91-3.00
S2 0.2681 0.5000 0.2741 x2  2 Tm 2.75, 1 Nd 2.84, 3 Na 2.91-2.99

Output
density of states at the Fermi level	0.00	states/eV/cell
calculated volume	23.57	Å³/atom
total energy	-42.910	eV per cell
raw formation energy	-1.8154	eV/atom

=====

VASP calculation (PBE) on LiEuEr after structural relaxation.

Cell: 3.7593 3.7593 12.8738 Å, 90.00 90.00 90.00°
Closest atoms and distances in Å follow each position.
Space group I4mm (No. 107)
Symmetry-distinct sites (fractional):
Li1 0.0000 0.0000 0.0000 x2  4 Er 3.20, 4 Eu 3.37
Eu1 0.0000 0.0000 0.6613 x2  4 Li 3.37, 4 Er 3.70, 4 Eu 3.76
Er1 0.0000 0.0000 0.3614 x2  4 Li 3.20

Output
density of states at the Fermi level	6.77	states/eV/cell
calculated volume	30.32	Å³/atom
total energy	-32.689	eV per cell
energy above the lowest structure with this stoichiometry	0.000	eV per atom
formation enthalpy at 0 K	0.136	eV per atom

=====

VASP calculation (PBE) on BaTiRhO6 after structural relaxation.

Cell: 5.2516 5.2516 5.7994 Å, 90.00 90.00 120.00°
Closest atoms and distances in Å follow each position.
Space group P312 (No. 149)
Symmetry-distinct sites (fractional):
Ba1 0.0000 0.0000 0.0000 x1  6 O 2.71
Ti1 0.3333 0.6667 0.5000 x1  6 O 1.98
Rh1 0.6667 0.3333 0.5000 x1  6 O 1.96
O1 0.3892 0.0025 0.6909 x6  1 Rh 1.96, 1 Ti 1.98

Output
density of states at the Fermi level	2.55	states/eV/cell
calculated volume	15.39	Å³/atom
total energy	-63.605	eV per cell
raw formation energy	-1.8541	eV/atom

=====

VASP calculation (PBE) on Y3Se3F2 after structural relaxation.

Cell: 3.8274 12.3402 14.0571 Å, 90.00 90.00 90.00°
Closest atoms and distances in Å follow each position.
Space group Cmcm (No. 63)
Symmetry-distinct sites (fractional):
Y1 0.0000 0.1252 0.0507 x8  3 F 2.35-2.37
Y2 0.0000 0.1450 0.7500 x4  6 Se 2.86-2.96, 2 F 3.01
Se1 0.0000 0.1829 0.2500 x4  4 Y 2.86-2.89
Se2 0.0000 0.4495 0.1120 x8  6 Y 2.96-3.12
F1 0.0000 0.2659 0.5641 x8  3 Y 2.35-2.37

Output
density of states at the Fermi level	12.79	states/eV/cell
calculated volume	20.75	Å³/atom
total energy	-214.516	eV per cell
raw formation energy	-2.5051	eV/atom

=====

VASP calculation (PBE) on Sm3MgRu after structural relaxation.

Cell: 16.1156 10.1344 6.6957 Å, 90.00 90.00 90.00°
Closest atoms and distances in Å follow each position.
Space group Cmce (No. 64)
Symmetry-distinct sites (fractional):
Sm1 0.1110 0.1960 0.9998 x16  2 Ru 2.85
Sm2 0.2042 0.0000 0.5000 x8  4 Ru 3.13, 2 Sm 3.43
Mg1 0.0000 0.0002 0.2936 x8  1 Mg 2.76
Ru1 0.2500 0.2500 0.2500 x8  8 Sm 2.85-3.13

Output
density of states at the Fermi level	37.48	states/eV/cell
calculated volume	27.34	Å³/atom
total energy	-207.430	eV per cell
energy above the lowest structure with this stoichiometry	0.000	eV per atom
formation enthalpy at 0 K	-0.180	eV per atom

=====

VASP calculation (PBE) on InSb2TeIr after structural relaxation.

Cell: 5.0832 5.0832 5.8776 Å, 90.00 90.00 90.00°
Closest atoms and distances in Å follow each position.
Space group P4/mmm (No. 123)
Symmetry-distinct sites (fractional):
In1 0.0000 0.0000 0.0000 x1  4 Te 3.59, 8 Sb 3.89
Sb1 0.0000 0.5000 0.5000 x2  2 Ir 2.54
Te1 0.5000 0.5000 0.0000 x1  2 Ir 2.94
Ir1 0.5000 0.5000 0.5000 x1  4 Sb 2.54

Output
density of states at the Fermi level	5.48	states/eV/cell
calculated volume	30.37	Å³/atom
total energy	-21.203	eV per cell
energy above the lowest structure with this stoichiometry	0.000	eV per atom
raw formation energy	0.3566	eV/atom

=====

VASP calculation (PBE) on YPuI2 after structural relaxation.

Cell: 3.8415 3.8415 32.7365 Å, 90.00 90.00 120.00°
Closest atoms and distances in Å follow each position.
Space group R-3m (No. 166, hexagonal axes)
Symmetry-distinct sites (fractional):
Y1 0.0000 0.0000 0.0000 x3  6 I 3.11
Pu1 0.0000 0.0000 0.5000 x3  2 I 3.27
I1 0.0000 0.0000 0.4000 x6  3 Y 3.11, 1 Pu 3.27

Output
density of states at the Fermi level	36.12	states/eV/cell
calculated volume	34.86	Å³/atom
total energy	-77.985	eV per cell
raw formation energy	-0.5247	eV/atom

=====

VASP calculation (PBE) on Pm4GeBi2 after structural relaxation.

Cell: 12.0541 4.5398 8.8909 Å, 90.00 117.14 90.00°
Closest atoms and distances in Å follow each position.
Space group C2/m (No. 12)
Symmetry-distinct sites (fractional):
Pm1 0.0806 0.0000 0.3638 x4  1 Ge 2.92
Pm2 0.1705 0.5000 0.0672 x4  2 Ge 2.93, 2 Bi 3.27
Ge1 0.0000 0.0000 0.0000 x2  6 Pm 2.92-2.93
Bi1 0.1488 0.5000 0.6713 x4  8 Pm 3.27-3.48, 1 Bi 3.49

Output
density of states at the Fermi level	13.16	states/eV/cell
calculated volume	30.93	Å³/atom
total energy	-73.171	eV per cell
energy above the lowest structure with this stoichiometry	0.000	eV per atom
formation enthalpy at 0 K	-0.743	eV per atom